Entry from Alexandria via LeMat-Bulk: crystalline TbPaGa at its relaxed geometry (GGA-PBE).

Properties
Crystal system   tetragonal
Excess energy over the best structure of this formula in the dataset   124 meV/atom
E_tot   -5.719 eV/atom
Symmetry   No. 129

Unit cell a=4.296 b=4.296 c=8.150 alpha=90.00 beta=90.00 gamma=90.00
Fractional coordinates of all 6 atoms:
Pa  0.500  0.000  0.368
Pa  0.000  0.500  0.632
Tb  0.000  0.000  0.000
Tb  0.500  0.500  0.000
Ga  0.000  0.500  0.271
Ga  0.500  0.000  0.729

Entry from Alexandria via LeMat-Bulk: crystalline NaUHg2 at its relaxed geometry (GGA-PBE).

Properties
Crystal system   tetragonal
E_tot   -3.224 eV/atom
Symmetry   No. 123

Unit cell a=3.017 b=5.709 c=5.709 alpha=90.00 beta=90.00 gamma=90.00
Fractional coordinates of all 4 atoms:
Na  0.500  0.500  0.500
Hg  0.000  0.000  0.500
Hg  0.000  0.500  0.000
U  0.500  0.000  0.000

Entry from Alexandria via LeMat-Bulk: crystalline TlAgPd at its relaxed geometry (GGA-PBE).

Properties
Crystal system   cubic
Excess energy over the best structure of this formula in the dataset   79 meV/atom
E_tot   -3.441 eV/atom
Symmetry   No. 216

Unit cell a=4.561 b=4.561 c=4.561 alpha=60.00 beta=60.00 gamma=60.00
Fractional coordinates of all 3 atoms:
Ag  0.500  0.500  0.500
Pd  0.250  0.250  0.250
Tl  0.000  0.000  0.000

Entry from Alexandria via LeMat-Bulk: crystalline PmPrZnNi at its relaxed geometry (GGA-PBE).

Properties
Crystal system   orthorhombic
Excess energy over the best structure of this formula in the dataset   0 meV/atom
E_tot   -4.422 eV/atom
Symmetry   No. 38

Unit cell a=3.925 b=4.487 c=5.810 alpha=90.00 beta=109.74 gamma=90.00
Fractional coordinates of all 4 atoms:
Ni  0.439  0.000  0.878
Zn  0.565  0.500  0.130
Pm  0.858  0.500  0.716
Pr  0.138  0.000  0.276

Please write out number 4 again, unchanged.
Entry from Alexandria via LeMat-Bulk: crystalline PmPrZnNi at its relaxed geometry (GGA-PBE).

Properties
Crystal system   orthorhombic
Excess energy over the best structure of this formula in the dataset   0 meV/atom
E_tot   -4.422 eV/atom
Symmetry   No. 38

Unit cell a=3.925 b=4.487 c=5.810 alpha=90.00 beta=109.74 gamma=90.00
Fractional coordinates of all 4 atoms:
Ni  0.439  0.000  0.878
Zn  0.565  0.500  0.130
Pm  0.858  0.500  0.716
Pr  0.138  0.000  0.276